Entry 1:
Compound: NdMnGa4
Source: the Alexandria database
Functional: PBE
Structure: relaxed

Formation energy from the elements ... 0.033 eV/atom

Cell and atoms, written as CIF:
```
data_NdMnGa4
_cell_length_a 4.5373
_cell_length_b 4.5373
_cell_length_c 6.8606
_cell_angle_alpha 90.00
_cell_angle_beta 90.00
_cell_angle_gamma 90.00
_symmetry_space_group_name_H-M 'P 4/m m m'
_symmetry_Int_Tables_number 123
_symmetry_space_group_name_Hall '-P 4 2'
loop_
_atom_site_label
_atom_site_fract_x
_atom_site_fract_y
_atom_site_fract_z
_atom_site_occupancy
Nd1 0.0000 0.0000 0.0000 1
Mn1 0.5000 0.5000 0.5000 1
Ga1 0.0000 0.5000 0.5000 1
Ga2 0.5000 0.5000 0.1712 1
```

***

Entry 2:
Compound: Nd4Mn3Ga16
Source: the Alexandria database
Functional: PBE
Structure: relaxed

Formation energy from the elements ... -0.420 eV/atom

Cell and atoms, written as CIF:
```
data_Nd4Mn3Ga16
_cell_length_a 6.1900
_cell_length_b 6.1900
_cell_length_c 11.4465
_cell_angle_alpha 90.00
_cell_angle_beta 90.00
_cell_angle_gamma 90.00
_symmetry_space_group_name_H-M 'P 4/m m m'
_symmetry_Int_Tables_number 123
_symmetry_space_group_name_Hall '-P 4 2'
loop_
_atom_site_label
_atom_site_fract_x
_atom_site_fract_y
_atom_site_fract_z
_atom_site_occupancy
Nd1 0.0000 0.5000 0.1922 1
Mn1 0.0000 0.0000 0.0000 1
Mn2 0.0000 0.5000 0.5000 1
Ga1 0.0000 0.0000 0.2193 1
Ga2 0.2484 0.2484 0.3839 1
Ga3 0.2844 0.2844 0.0000 1
Ga4 0.5000 0.5000 0.1919 1
```

***

Entry 3:
Compound: NdMn4Ga12
Source: the Alexandria database
Functional: PBE
Structure: relaxed

Formation energy from the elements ... 0.012 eV/atom

Cell and atoms, written as CIF:
```
data_NdMn4Ga12
_cell_length_a 9.1880
_cell_length_b 9.1880
_cell_length_c 9.1880
_cell_angle_alpha 90.00
_cell_angle_beta 90.00
_cell_angle_gamma 90.00
_symmetry_space_group_name_H-M 'I m -3 m'
_symmetry_Int_Tables_number 229
_symmetry_space_group_name_Hall '-I 4 2 3'
loop_
_atom_site_label
_atom_site_fract_x
_atom_site_fract_y
_atom_site_fract_z
_atom_site_occupancy
Nd1 0.0000 0.0000 0.0000 1
Mn1 0.2500 0.2500 0.2500 1
Ga1 0.0000 0.2671 0.2671 1
```

***

Entry 4:
Compound: Nd2MnGa
Source: the Alexandria database
Functional: PBE
Structure: relaxed

Distance to the lowest polymorph of the same formula ... 11.04 kcal/mol of atoms
Formation energy from the elements ... 0.373 eV/atom

Cell and atoms, written as CIF:
```
data_Nd2MnGa
_cell_length_a 3.4169
_cell_length_b 3.4169
_cell_length_c 32.0843
_cell_angle_alpha 90.00
_cell_angle_beta 90.00
_cell_angle_gamma 120.00
_symmetry_space_group_name_H-M 'R -3 m'
_symmetry_Int_Tables_number 166
_symmetry_space_group_name_Hall '-R 3 2"'
loop_
_atom_site_label
_atom_site_fract_x
_atom_site_fract_y
_atom_site_fract_z
_atom_site_occupancy
Nd1 0.0000 0.0000 0.0921 1
Mn1 0.0000 0.0000 0.0000 1
Ga1 0.0000 0.0000 0.5000 1
```

***

Entry 5:
Compound: Nd2MnGa4Ni3
Source: the Alexandria database
Functional: PBE
Structure: relaxed

Formation energy from the elements ... -0.477 eV/atom

Cell and atoms, written as CIF:
```
data_Nd2MnGa4Ni3
_cell_length_a 4.1120
_cell_length_b 4.1120
_cell_length_c 10.3740
_cell_angle_alpha 90.00
_cell_angle_beta 90.00
_cell_angle_gamma 90.00
_symmetry_space_group_name_H-M 'P -4 m 2'
_symmetry_Int_Tables_number 115
_symmetry_space_group_name_Hall 'P -4 -2'
loop_
_atom_site_label
_atom_site_fract_x
_atom_site_fract_y
_atom_site_fract_z
_atom_site_occupancy
Nd1 0.0000 0.5000 0.2448 1
Mn1 0.0000 0.0000 0.5000 1
Ga1 0.0000 0.0000 0.0000 1
Ga2 0.0000 0.5000 0.6370 1
Ga3 0.5000 0.5000 0.0000 1
Ni1 0.0000 0.5000 0.8713 1
Ni2 0.5000 0.5000 0.5000 1
```

***

Entry 6:
Compound: Nd2Mn2GaNi5
Source: the Alexandria database
Functional: PBE
Structure: relaxed

Formation energy from the elements ... -0.091 eV/atom

Cell and atoms, written as CIF:
```
data_Nd2Mn2GaNi5
_cell_length_a 9.3538
_cell_length_b 9.3538
_cell_length_c 3.6261
_cell_angle_alpha 90.00
_cell_angle_beta 90.00
_cell_angle_gamma 90.00
_symmetry_space_group_name_H-M 'P 4/m b m'
_symmetry_Int_Tables_number 127
_symmetry_space_group_name_Hall '-P 4 2ab'
loop_
_atom_site_label
_atom_site_fract_x
_atom_site_fract_y
_atom_site_fract_z
_atom_site_occupancy
Nd1 0.1828 0.3172 0.0000 1
Mn1 0.1173 0.6173 0.0000 1
Ga1 0.0000 0.0000 0.0000 1
Ni1 0.0000 0.5000 0.5000 1
Ni2 0.0530 0.7959 0.5000 1
```

***

Entry 7:
Compound: Nd2MnGa3Pd4
Source: the Alexandria database
Functional: PBE
Structure: relaxed

Formation energy from the elements ... -0.679 eV/atom

Cell and atoms, written as CIF:
```
data_Nd2MnGa3Pd4
_cell_length_a 4.1613
_cell_length_b 4.1613
_cell_length_c 11.1645
_cell_angle_alpha 90.00
_cell_angle_beta 90.00
_cell_angle_gamma 90.00
_symmetry_space_group_name_H-M 'P -4 m 2'
_symmetry_Int_Tables_number 115
_symmetry_space_group_name_Hall 'P -4 -2'
loop_
_atom_site_label
_atom_site_fract_x
_atom_site_fract_y
_atom_site_fract_z
_atom_site_occupancy
Nd1 0.0000 0.5000 0.2479 1
Mn1 0.5000 0.5000 0.0000 1
Ga1 0.0000 0.0000 0.0000 1
Ga2 0.0000 0.5000 0.6314 1
Pd1 0.0000 0.0000 0.5000 1
Pd2 0.0000 0.5000 0.8582 1
Pd3 0.5000 0.5000 0.5000 1
```

***

Entry 8:
Compound: Nd2MnGaPd6
Source: the Alexandria database
Functional: PBE
Structure: relaxed

Formation energy from the elements ... -0.478 eV/atom

Cell and atoms, written as CIF:
```
data_Nd2MnGaPd6
_cell_length_a 5.7055
_cell_length_b 5.7055
_cell_length_c 23.0353
_cell_angle_alpha 90.00
_cell_angle_beta 90.00
_cell_angle_gamma 120.00
_symmetry_space_group_name_H-M 'R -3 m'
_symmetry_Int_Tables_number 166
_symmetry_space_group_name_Hall '-R 3 2"'
loop_
_atom_site_label
_atom_site_fract_x
_atom_site_fract_y
_atom_site_fract_z
_atom_site_occupancy
Nd1 0.0000 0.0000 0.2077 1
Mn1 0.0000 0.0000 0.5000 1
Ga1 0.0000 0.0000 0.0000 1
Pd1 0.0010 0.5005 0.7495 1
```

***

Entry 9:
Compound: Nd2MnGa4Pd3
Source: the Alexandria database
Functional: PBE
Structure: relaxed

Formation energy from the elements ... -0.660 eV/atom

Cell and atoms, written as CIF:
```
data_Nd2MnGa4Pd3
_cell_length_a 4.2050
_cell_length_b 4.2050
_cell_length_c 10.9485
_cell_angle_alpha 90.00
_cell_angle_beta 90.00
_cell_angle_gamma 90.00
_symmetry_space_group_name_H-M 'P -4 m 2'
_symmetry_Int_Tables_number 115
_symmetry_space_group_name_Hall 'P -4 -2'
loop_
_atom_site_label
_atom_site_fract_x
_atom_site_fract_y
_atom_site_fract_z
_atom_site_occupancy
Nd1 0.0000 0.5000 0.2490 1
Mn1 0.5000 0.5000 0.0000 1
Ga1 0.0000 0.0000 0.5000 1
Ga2 0.0000 0.5000 0.8656 1
Ga3 0.5000 0.5000 0.5000 1
Pd1 0.0000 0.0000 0.0000 1
Pd2 0.0000 0.5000 0.6341 1
```

***

Entry 10:
Compound: Nd2MnGa4Pt3
Source: the Alexandria database
Functional: PBE
Structure: relaxed

Formation energy from the elements ... -0.816 eV/atom

Cell and atoms, written as CIF:
```
data_Nd2MnGa4Pt3
_cell_length_a 4.1957
_cell_length_b 4.1957
_cell_length_c 10.9574
_cell_angle_alpha 90.00
_cell_angle_beta 90.00
_cell_angle_gamma 90.00
_symmetry_space_group_name_H-M 'P -4 m 2'
_symmetry_Int_Tables_number 115
_symmetry_space_group_name_Hall 'P -4 -2'
loop_
_atom_site_label
_atom_site_fract_x
_atom_site_fract_y
_atom_site_fract_z
_atom_site_occupancy
Nd1 0.0000 0.5000 0.2499 1
Mn1 0.0000 0.0000 0.5000 1
Ga1 0.0000 0.0000 0.0000 1
Ga2 0.0000 0.5000 0.6346 1
Ga3 0.5000 0.5000 0.0000 1
Pt1 0.0000 0.5000 0.8652 1
Pt2 0.5000 0.5000 0.5000 1
```